VASP calculation (PBE) on a geometry-optimized Pu3AlSb2Pd9 structure.

Structure (CIF):
```
data_Pu3AlSb2Pd9
_space_group_name_H-M_alt 'P -3 m 1'
_space_group_IT_number 164
_space_group_name_Hall '-P 3 2"'
_cell_length_a 6.8894
_cell_length_b 6.8894
_cell_length_c 8.6219
_cell_angle_alpha 90.00
_cell_angle_beta 90.00
_cell_angle_gamma 120.00
loop_
_atom_site_label
_atom_site_fract_x
_atom_site_fract_y
_atom_site_fract_z
_atom_site_occupancy
Pu1 0.0000 0.0000 0.0000 1
Pu2 0.3333 0.6667 0.7298 1
Al1 0.0000 0.0000 0.5000 1
Sb1 0.3333 0.6667 0.2087 1
Pd1 0.0000 0.5000 0.0000 1
Pd2 0.1308 0.2615 0.2779 1
```

Values from the calculation:
Raw total energy ... -7.07 eV per atom



VASP calculation (PBE) on a geometry-optimized KSiTe4 structure.

Structure (CIF):
```
data_KSiTe4
_space_group_name_H-M_alt 'C 1 2/c 1'
_space_group_IT_number 15
_space_group_name_Hall '-C 2yc'
_cell_length_a 11.890
_cell_length_b 14.810
_cell_length_c 7.382
_cell_angle_alpha 90.00
_cell_angle_beta 127.42
_cell_angle_gamma 90.00
loop_
_atom_site_label
_atom_site_fract_x
_atom_site_fract_y
_atom_site_fract_z
_atom_site_occupancy
K1 0.000 0.116 0.250 1
Si1 0.000 0.239 0.750 1
Te1 0.070 0.331 0.545 1
Te2 0.172 0.112 0.991 1
```

Values from the calculation:
Relative energy among the computed polymorphs ... 0.00 eV/f.u.
Raw total energy ... -3.43 eV per atom



VASP calculation (PBE) on a geometry-optimized Ac2YZn structure.

Structure (CIF):
```
data_Ac2YZn
_space_group_name_H-M_alt 'R -3 m'
_space_group_IT_number 166
_space_group_name_Hall '-R 3 2"'
_cell_length_a 3.7807
_cell_length_b 3.7807
_cell_length_c 37.8104
_cell_angle_alpha 90.00
_cell_angle_beta 90.00
_cell_angle_gamma 120.00
loop_
_atom_site_label
_atom_site_fract_x
_atom_site_fract_y
_atom_site_fract_z
_atom_site_occupancy
Ac1 0.0000 0.0000 0.0874 1
Y1 0.0000 0.0000 0.5000 1
Zn1 0.0000 0.0000 0.0000 1
```

Values from the calculation:
Relative energy among the computed polymorphs ... 1.55 eV/f.u.
Raw total energy ... -3.69 eV per atom



VASP calculation (PBE) on a geometry-optimized CaMg14Ga structure.

Structure (CIF):
```
data_CaMg14Ga
_space_group_name_H-M_alt 'P -6 m 2'
_space_group_IT_number 187
_space_group_name_Hall 'P -6 2'
_cell_length_a 6.4823
_cell_length_b 6.4823
_cell_length_c 10.2996
_cell_angle_alpha 90.00
_cell_angle_beta 90.00
_cell_angle_gamma 120.00
loop_
_atom_site_label
_atom_site_fract_x
_atom_site_fract_y
_atom_site_fract_z
_atom_site_occupancy
Ca1 0.0000 0.0000 0.0000 1
Mg1 0.0087 0.5044 0.0000 1
Mg2 0.1658 0.3316 0.2634 1
Mg3 0.5043 0.0086 0.5000 1
Mg4 0.6667 0.3333 0.2443 1
Ga1 0.0000 0.0000 0.5000 1
```

Values from the calculation:
Relative energy among the computed polymorphs ... 0.28 eV/f.u.
Raw total energy ... -1.71 eV per atom



VASP calculation (PBE) on a geometry-optimized RbCaMg6 structure.

Structure (CIF):
```
data_RbCaMg6
_space_group_name_H-M_alt 'A m m 2'
_space_group_IT_number 38
_space_group_name_Hall 'A 2 -2'
_cell_length_a 5.524
_cell_length_b 7.228
_cell_length_c 11.959
_cell_angle_alpha 90.00
_cell_angle_beta 90.00
_cell_angle_gamma 90.00
loop_
_atom_site_label
_atom_site_fract_x
_atom_site_fract_y
_atom_site_fract_z
_atom_site_occupancy
Rb1 0.000 0.000 0.000 1
Ca1 0.500 0.000 0.802 1
Mg1 0.000 0.000 0.466 1
Mg2 0.000 0.235 0.731 1
Mg3 0.500 0.000 0.293 1
Mg4 0.500 0.212 0.553 1
```

Values from the calculation:
Relative energy among the computed polymorphs ... 0.04 eV/f.u.
Raw total energy ... -1.37 eV per atom



VASP calculation (PBE) on a geometry-optimized Hf8Al2Sn structure.

Structure (CIF):
```
data_Hf8Al2Sn
_space_group_name_H-M_alt 'C 1 2/m 1'
_space_group_IT_number 12
_space_group_name_Hall '-C 2y'
_cell_length_a 7.803
_cell_length_b 12.949
_cell_length_c 5.184
_cell_angle_alpha 90.00
_cell_angle_beta 113.13
_cell_angle_gamma 90.00
loop_
_atom_site_label
_atom_site_fract_x
_atom_site_fract_y
_atom_site_fract_z
_atom_site_occupancy
Hf1 0.000 0.228 0.000 1
Hf2 0.085 0.500 0.796 1
Hf3 0.204 0.118 0.631 1
Al1 0.000 0.306 0.500 1
Sn1 0.000 0.000 0.000 1
```

Values from the calculation:
Raw total energy ... -8.34 eV per atom



Q: Among the records above, which one has the highest raw total energy?
A: RbCaMg6



Q: Among the records above, which one has the highest raw total energy?
A: RbCaMg6



Q: What is the raw total energy in the second record?
A: -3.43 eV per atom